No. 1
# SrEr4Be

SrEr4Be after structural relaxation (PBE, OQMD).

Calculated values
**Crystal system**: orthorhombic

Unit cell a=10.4248 b=11.2838 c=3.5971 alpha=90.00 beta=90.00 gamma=90.00
Closest atoms and distances in Å follow each position.
Space group Cmmm (No. 65)
Symmetry-distinct sites (fractional):
Sr  0.0000  0.0000  0.0000 (multiplicity 2)  6 Er 3.28-3.55, 2 Sr 3.60
Er  0.0000  0.2711  0.5000 (multiplicity 4)  1 Be 2.58
Er  0.1853  0.5000  0.0000 (multiplicity 4)  2 Be 2.64
Be  0.0000  0.5000  0.5000 (multiplicity 2)  6 Er 2.58-2.64



No. 2
# SrErBe

SrErBe after structural relaxation (PBE, OQMD).

Calculated values
**Crystal system**: cubic

Unit cell a=7.1158 b=7.1158 c=7.1158 alpha=90.00 beta=90.00 gamma=90.00
Closest atoms and distances in Å follow each position.
Space group F-43m (No. 216)
Symmetry-distinct sites (fractional):
Sr  0.0000  0.0000  0.0000 (multiplicity 4)  4 Be 3.08
Er  0.0000  0.0000  0.5000 (multiplicity 4)  4 Be 3.08
Be  0.2500  0.2500  0.7500 (multiplicity 4)  4 Er 3.08, 4 Sr 3.08



No. 3
# ErTaBe

ErTaBe after structural relaxation (PBE, OQMD).

Calculated values
**Crystal system**: cubic

Unit cell a=6.1677 b=6.1677 c=6.1677 alpha=90.00 beta=90.00 gamma=90.00
Closest atoms and distances in Å follow each position.
Space group F-43m (No. 216)
Symmetry-distinct sites (fractional):
Er  0.0000  0.0000  0.0000 (multiplicity 4)  4 Be 2.67
Ta  0.0000  0.0000  0.5000 (multiplicity 4)  4 Be 2.67
Be  0.2500  0.2500  0.2500 (multiplicity 4)  4 Ta 2.67, 4 Er 2.67



No. 4
# ErTaBe

ErTaBe after structural relaxation (PBE, OQMD).

Calculated values
**Crystal system**: cubic

Unit cell a=6.5028 b=6.5028 c=6.5028 alpha=90.00 beta=90.00 gamma=90.00
Closest atoms and distances in Å follow each position.
Space group F-43m (No. 216)
Symmetry-distinct sites (fractional):
Er  0.0000  0.0000  0.0000 (multiplicity 4)  4 Be 2.82, 4 Ta 2.82
Ta  0.2500  0.2500  0.2500 (multiplicity 4)  4 Er 2.82
Be  0.2500  0.2500  0.7500 (multiplicity 4)  4 Er 2.82



No. 5
# ErBeTe

ErBeTe after structural relaxation (PBE, OQMD).

Calculated values
**Crystal system**: cubic

Unit cell a=6.8844 b=6.8844 c=6.8844 alpha=90.00 beta=90.00 gamma=90.00
Closest atoms and distances in Å follow each position.
Space group F-43m (No. 216)
Symmetry-distinct sites (fractional):
Er  0.0000  0.0000  0.0000 (multiplicity 4)  4 Be 2.98, 4 Te 2.98
Be  0.2500  0.2500  0.7500 (multiplicity 4)  4 Er 2.98
Te  0.2500  0.2500  0.2500 (multiplicity 4)  4 Er 2.98



No. 6
# ErBeTe

ErBeTe after structural relaxation (PBE, OQMD).

Calculated values
**Crystal system**: cubic

Unit cell a=6.8643 b=6.8643 c=6.8643 alpha=90.00 beta=90.00 gamma=90.00
Closest atoms and distances in Å follow each position.
Space group F-43m (No. 216)
Symmetry-distinct sites (fractional):
Er  0.0000  0.0000  0.0000 (multiplicity 4)  4 Te 2.97
Be  0.0000  0.0000  0.5000 (multiplicity 4)  4 Te 2.97
Te  0.2500  0.2500  0.7500 (multiplicity 4)  4 Be 2.97, 4 Er 2.97



| no. | E_tot (eV/atom) |
| --- | --- |
| 1 | -3.280 |
| 2 | -2.799 |
| 3 | -6.118 |
| 4 | -5.039 |
| 5 | -3.659 |
| 6 | -3.493 |